(1)
{"formula": "ReGeAsSe2", "functional": "PBE-GGA", "state": "relaxed", "vol_a3_per_atom": 21.6, "de_polymorph_ev_per_atom": 0.865, "sg": "P4/mmm (123)", "raw_formation_energy_ev_per_atom": 1.5329, "cell": [[4.768, 0.000, 0.000], [0.000, 4.768, 0.000], [0.000, 0.000, 4.756]], "species": ["Re", "Ge", "As", "Se", "Se"], "fractional_positions": [[0.000, 0.000, 0.000], [0.500, 0.500, 0.500], [0.500, 0.500, 0.000], [0.000, 0.500, 0.500], [0.500, 0.000, 0.500]]}


(2)
{"formula": "GeAsRh3", "functional": "PBE-GGA", "state": "relaxed", "vol_a3_per_atom": 18.8, "de_polymorph_ev_per_atom": 0.995, "sg": "Pm-3m (221)", "cell": [[4.547, 0.000, 0.000], [0.000, 4.547, 0.000], [0.000, 0.000, 4.547]], "species": ["Ge", "As", "Rh", "Rh", "Rh"], "fractional_positions": [[0.000, 0.000, 0.000], [0.500, 0.500, 0.500], [0.000, 0.000, 0.500], [0.000, 0.500, 0.000], [0.500, 0.000, 0.000]]}